Model P:
Computed, not measured: CuIrSeN2 after structural relaxation at the GGA-PBE level of DFT.

Results
The density of states at the Fermi level comes out at 3.59 states/eV/f.u.

Cell: 3.7336 3.7336 5.6402 Å, 90.00 90.00 90.00°
Last column: nearest neighbours and their distance in Å.
Element x y z (fractional)
Cu 0.0000 0.0000 0.0000  4 Se 2.64
Ir 0.5000 0.5000 0.5000  4 N 1.87
Se 0.5000 0.5000 0.0000  4 Cu 2.64, 2 Ir 2.82
N 0.0000 0.5000 0.5000  2 Ir 1.87
N 0.5000 0.0000 0.5000  2 Ir 1.87

Model Q:
Computed, not measured: CuIrSeN2 after structural relaxation at the GGA-PBE level of DFT.

Results
The density of states at the Fermi level comes out at 4.83 states/eV/f.u.

Cell: 3.5950 3.5950 6.2229 Å, 90.00 90.00 90.00°
Last column: nearest neighbours and their distance in Å.
Element x y z (fractional)
Cu 0.0000 0.0000 0.0000  4 N 1.80
Ir 0.5000 0.5000 0.5000  4 Se 2.54
Se 0.0000 0.0000 0.5000  4 Ir 2.54
N 0.0000 0.5000 0.0000  2 Cu 1.80
N 0.5000 0.0000 0.0000  2 Cu 1.80

Tell me which of them is the least stable. Sure, it is model Q.

Model P:
Computed, not measured: CuTe2IrN after structural relaxation at the GGA-PBE level of DFT.

Results
The density of states at the Fermi level comes out at 2.71 states/eV/f.u.

Cell: 5.2055 5.2055 3.4163 Å, 90.00 90.00 90.00°
Last column: nearest neighbours and their distance in Å.
Element x y z (fractional)
Cu 0.0000 0.0000 0.0000  2 N 1.71
Te 0.0000 0.5000 0.0000  2 Cu 2.60
Te 0.5000 0.0000 0.0000  2 Cu 2.60
Ir 0.5000 0.5000 0.5000  8 Te 3.11, 2 Ir 3.42
N 0.0000 0.0000 0.5000  2 Cu 1.71

Model Q:
Computed, not measured: CuTe2IrN after structural relaxation at the GGA-PBE level of DFT.

Results
The density of states at the Fermi level comes out at 4.64 states/eV/f.u.

Cell: 5.5147 5.5147 3.6228 Å, 90.00 90.00 90.00°
Last column: nearest neighbours and their distance in Å.
Element x y z (fractional)
Cu 0.0000 0.0000 0.0000  8 Te 3.30, 2 Cu 3.62
Te 0.0000 0.5000 0.5000  2 Ir 2.76
Te 0.5000 0.0000 0.5000  2 Ir 2.76
Ir 0.5000 0.5000 0.5000  2 N 1.81
N 0.5000 0.5000 0.0000  2 Ir 1.81

Tell me which of them is the least stable. Sure, it is model P.

Model P:
Computed, not measured: NbCu2Ir after structural relaxation at the GGA-PBE level of DFT.

Results
The density of states at the Fermi level comes out at 6.90 states/eV/f.u.

Cell: 4.2983 4.2983 4.2983 Å, 60.00 60.00 60.00°
Last column: nearest neighbours and their distance in Å.
Element x y z (fractional)
Nb 0.0000 0.0000 0.0000  8 Cu 2.63
Cu 0.2500 0.2500 0.2500  4 Ir 2.63, 4 Nb 2.63
Cu 0.7500 0.7500 0.7500  4 Ir 2.63, 4 Nb 2.63
Ir 0.5000 0.5000 0.5000  8 Cu 2.63

Model Q:
Computed, not measured: NbCu2Ir after structural relaxation at the GGA-PBE level of DFT.

Results
The density of states at the Fermi level comes out at 4.72 states/eV/f.u.

Cell: 5.5588 5.5588 5.5588 Å, 102.08 102.08 125.56°
Last column: nearest neighbours and their distance in Å.
Element x y z (fractional)
Nb 0.0000 0.0000 0.0000  2 Ir 2.54, 4 Cu 2.61
Nb 0.7500 0.2500 0.5000  2 Ir 2.54, 4 Cu 2.61
Cu 0.1369 0.6250 0.0119  2 Ir 2.50, 2 Cu 2.55, 2 Nb 2.61
Cu 0.3750 0.3869 0.5119  2 Ir 2.50, 2 Cu 2.55, 2 Nb 2.61
Cu 0.6131 0.1250 0.9881  2 Ir 2.50, 2 Cu 2.55, 2 Nb 2.61
Cu 0.8750 0.8631 0.4881  2 Ir 2.50, 2 Cu 2.55, 2 Nb 2.61
Ir 0.2500 0.7500 0.5000  4 Cu 2.50, 2 Nb 2.54
Ir 0.5000 0.5000 0.0000  4 Cu 2.50, 2 Nb 2.54

Tell me which of them is the least stable. Sure, it is model Q.

Model P:
Computed, not measured: Nb2CuIr2 after structural relaxation at the GGA-PBE level of DFT.

Results
The density of states at the Fermi level comes out at 3.06 states/eV/f.u.

Cell: 7.7765 7.7765 2.8492 Å, 90.00 90.00 90.00°
Last column: nearest neighbours and their distance in Å.
Element x y z (fractional)
Nb 0.1568 0.3432 0.0000  6 Ir 2.68-2.70, 2 Nb 2.85, 2 Cu 2.93
Nb 0.3432 0.8432 0.0000  6 Ir 2.68-2.70, 2 Nb 2.85, 2 Cu 2.93
Nb 0.6568 0.1568 0.0000  6 Ir 2.68-2.70, 2 Nb 2.85, 2 Cu 2.93
Nb 0.8432 0.6568 0.0000  6 Ir 2.68-2.70, 2 Nb 2.85, 2 Cu 2.93
Cu 0.0000 0.0000 0.0000  2 Cu 2.85, 4 Nb 2.93
Cu 0.5000 0.5000 0.0000  2 Cu 2.85, 4 Nb 2.93
Ir 0.1371 0.6371 0.5000  6 Nb 2.68-2.70, 2 Ir 2.85
Ir 0.3629 0.1371 0.5000  6 Nb 2.68-2.70, 2 Ir 2.85
Ir 0.6371 0.8629 0.5000  6 Nb 2.68-2.70, 2 Ir 2.85
Ir 0.8629 0.3629 0.5000  6 Nb 2.68-2.70, 2 Ir 2.85

Model Q:
Computed, not measured: Nb2CuIr2 after structural relaxation at the GGA-PBE level of DFT.

Results
The density of states at the Fermi level comes out at 3.02 states/eV/f.u.

Cell: 7.5391 7.5391 2.9703 Å, 90.00 90.00 90.00°
Last column: nearest neighbours and their distance in Å.
Element x y z (fractional)
Nb 0.1661 0.3339 0.0000  6 Ir 2.60-2.71
Nb 0.3339 0.8339 0.0000  6 Ir 2.60-2.71
Nb 0.6661 0.1661 0.0000  6 Ir 2.60-2.71
Nb 0.8339 0.6661 0.0000  6 Ir 2.60-2.71
Cu 0.0000 0.0000 0.5000  4 Ir 2.94, 2 Cu 2.97, 8 Nb 3.18
Cu 0.5000 0.5000 0.5000  4 Ir 2.94, 2 Cu 2.97, 8 Nb 3.18
Ir 0.1333 0.6333 0.5000  6 Nb 2.60-2.71, 1 Ir 2.84
Ir 0.3667 0.1333 0.5000  6 Nb 2.60-2.71, 1 Ir 2.84
Ir 0.6333 0.8667 0.5000  6 Nb 2.60-2.71, 1 Ir 2.84
Ir 0.8667 0.3667 0.5000  6 Nb 2.60-2.71, 1 Ir 2.84

Tell me which of them is the least stable. Sure, it is model P.

Model P:
Computed, not measured: NbCuIr2 after structural relaxation at the GGA-PBE level of DFT.

Results
The density of states at the Fermi level comes out at 2.34 states/eV/f.u.

Cell: 4.6652 4.6652 4.6652 Å, 129.24 129.24 74.62°
Last column: nearest neighbours and their distance in Å.
Element x y z (fractional)
Nb 0.0000 0.0000 0.0000  8 Ir 2.73, 4 Cu 2.83
Cu 0.5000 0.5000 0.0000  8 Ir 2.73, 4 Nb 2.83
Ir 0.2500 0.7500 0.5000  4 Nb 2.73, 4 Cu 2.73, 4 Ir 2.83
Ir 0.7500 0.2500 0.5000  4 Nb 2.73, 4 Cu 2.73, 4 Ir 2.83

Model Q:
Computed, not measured: NbCuIr2 after structural relaxation at the GGA-PBE level of DFT.

Results
The density of states at the Fermi level comes out at 2.35 states/eV/f.u.

Cell: 3.2463 3.2463 5.6849 Å, 90.00 90.00 90.00°
Last column: nearest neighbours and their distance in Å.
Element x y z (fractional)
Nb 0.0000 0.0000 0.0000  8 Ir 2.73, 2 Cu 2.84
Cu 0.0000 0.0000 0.5000  8 Ir 2.67, 2 Nb 2.84
Ir 0.5000 0.5000 0.2599  4 Cu 2.67, 4 Nb 2.73, 2 Ir 2.73-2.95
Ir 0.5000 0.5000 0.7401  4 Cu 2.67, 4 Nb 2.73, 2 Ir 2.73-2.95

Tell me which of them is the least stable. Sure, it is model Q.

Model P:
Computed, not measured: Nd2CuIr2 after structural relaxation at the GGA-PBE level of DFT.

Results
The density of states at the Fermi level comes out at 2.64 states/eV/f.u.

Cell: 5.6747 5.6747 8.0426 Å, 103.77 103.77 58.59°
Last column: nearest neighbours and their distance in Å.
Element x y z (fractional)
Nd 0.0011 0.2934 0.1498  6 Ir 2.96-3.25, 1 Cu 3.31
Nd 0.2934 0.0011 0.6498  6 Ir 2.96-3.25, 1 Cu 3.31
Nd 0.7066 0.9989 0.3502  6 Ir 2.96-3.25, 1 Cu 3.31
Nd 0.9989 0.7066 0.8502  6 Ir 2.96-3.25, 1 Cu 3.31
Cu 0.3597 0.6403 0.2500  4 Ir 2.60-2.67
Cu 0.6403 0.3597 0.7500  4 Ir 2.60-2.67
Ir 0.2243 0.5090 0.4874  2 Cu 2.60-2.67, 1 Ir 2.66
Ir 0.4910 0.7757 0.0126  2 Cu 2.60-2.67, 1 Ir 2.66
Ir 0.5090 0.2243 0.9874  2 Cu 2.60-2.67, 1 Ir 2.66
Ir 0.7757 0.4910 0.5126  2 Cu 2.60-2.67, 1 Ir 2.66

Model Q:
Computed, not measured: Nd2CuIr2 after structural relaxation at the GGA-PBE level of DFT.

Results
The density of states at the Fermi level comes out at 3.20 states/eV/f.u.

Cell: 5.5852 5.5852 5.5852 Å, 134.98 117.47 80.32°
Last column: nearest neighbours and their distance in Å.
Element x y z (fractional)
Nd 0.2006 0.2006 0.0000  6 Ir 2.97-3.07
Nd 0.7994 0.7994 0.0000  6 Ir 2.97-3.07
Cu 0.5000 0.0000 0.5000  4 Ir 2.62
Ir 0.2387 0.5000 0.7387  2 Cu 2.62, 1 Ir 2.77
Ir 0.7613 0.5000 0.2613  2 Cu 2.62, 1 Ir 2.77

Tell me which of them is the least stable. Sure, it is model P.